No. 1
Material: NaIrBr6
Method: DFT, PBE-GGA
State: optimized geometry

Cell: 8.0737 7.8258 6.2899 Å, 110.29 112.02 115.41°
With the nearest neighbours (Å) after each atom.
Sites, in units of the cell vectors:
1 Na 0.0000 0.0000 0.0000  4 Br 2.94
2 Br 0.4968 0.7450 0.6208  1 Ir 2.51
3 Br 0.5032 0.2550 0.3792  1 Ir 2.51
4 Br 0.7192 0.3341 0.0000  1 Ir 2.45
5 Br 0.2808 0.6659 0.0000  1 Ir 2.45
6 Ir 0.5000 0.0000 0.0000  6 Br 2.45-2.51
7 Br 0.8760 0.1241 0.3792  1 Ir 2.51
8 Br 0.1240 0.8759 0.6208  1 Ir 2.51

The calculation puts the energy above the most stable polymorph in this dataset at 0.11 kcal/mol of atoms. Its uncorrected formation energy is -0.43 eV per atom. The calculation puts the calculated total energy at -23.6 eV for the cell shown.

No. 2
Material: Dy2TmMnSe6
Method: DFT, PBE-GGA
State: optimized geometry

Cell: 7.0115 7.0053 7.4692 Å, 61.97 62.01 60.06°
With the nearest neighbours (Å) after each atom.
Sites, in units of the cell vectors:
1 Tm 0.8212 0.8210 0.5369  6 Se 2.79-2.85
2 Dy 0.0159 0.0161 0.9514  6 Se 2.82-2.91
3 Se 0.6974 0.1062 0.7662  1 Mn 2.65, 1 Tm 2.79, 2 Dy 2.82-2.89
4 Se 0.9507 0.5840 0.2512  1 Mn 2.63, 1 Tm 2.85, 2 Dy 2.86-2.90
5 Dy 0.5178 0.5180 0.4462  6 Se 2.86-2.89
6 Se 0.5845 0.2140 0.2509  1 Mn 2.63, 1 Tm 2.85, 2 Dy 2.86-2.91
7 Se 0.4299 0.6973 0.7666  1 Mn 2.65, 1 Tm 2.79, 2 Dy 2.83-2.89
8 Mn 0.3237 0.3237 0.0292  6 Se 2.62-2.65
9 Se 0.1061 0.4302 0.7663  1 Mn 2.65, 1 Tm 2.79, 2 Dy 2.82-2.89
10 Se 0.2144 0.9511 0.2504  1 Mn 2.62, 1 Tm 2.85, 2 Dy 2.86-2.91

Its uncorrected formation energy is -1.42 eV per atom. The calculation puts the calculated total energy at -57.9 eV for the cell shown.

No. 3
Material: Be2CuSi
Method: DFT, PBE-GGA
State: optimized geometry

Cell: 2.4645 2.4645 7.1642 Å, 90.00 90.00 89.99°
With the nearest neighbours (Å) after each atom.
Sites, in units of the cell vectors:
1 Si 0.5000 0.5000 0.7592  4 Si 2.46, 4 Be 2.65, 4 Cu 2.73
2 Be 0.5000 0.5000 0.2373  8 Be 2.25-2.46, 4 Cu 2.39
3 Cu 0.0000 0.0000 0.4654  4 Be 2.39, 4 Cu 2.46
4 Be 0.0000 0.0000 0.0381  8 Be 2.25-2.46

Its uncorrected formation energy is 0.19 eV per atom. The calculation puts the calculated total energy at -16.2 eV for the cell shown.

No. 4
Material: Sm5Te2N
Method: DFT, PBE-GGA
State: optimized geometry

Cell: 5.8153 6.3543 14.4486 Å, 90.00 90.00 117.23°
With the nearest neighbours (Å) after each atom.
Sites, in units of the cell vectors:
1 Sm 0.2998 0.5995 0.7500  2 N 2.92, 2 Te 3.07
2 Sm 0.9297 0.8593 0.8649  1 N 2.43
3 Sm 0.6285 0.2569 0.6295  1 N 2.38
4 Te 0.1890 0.3779 0.5560  6 Sm 3.07-3.38
5 Sm 0.0703 0.1407 0.1351  1 N 2.43
6 Te 0.8110 0.6221 0.4440  6 Sm 3.07-3.38
7 N 0.2279 0.4559 0.2500  4 Sm 2.38-2.43
8 Sm 0.7002 0.4005 0.2500  2 N 2.92, 2 Te 3.07
9 Sm 0.6285 0.2569 0.8705  1 N 2.38
10 Sm 0.0703 0.1407 0.3649  1 N 2.43
11 Te 0.1890 0.3779 0.9440  6 Sm 3.07-3.38
12 N 0.7721 0.5441 0.7500  4 Sm 2.38-2.43
13 Sm 0.3715 0.7431 0.3705  1 N 2.38
14 Sm 0.3715 0.7431 0.1295  1 N 2.38
15 Sm 0.9297 0.8593 0.6351  1 N 2.43
16 Te 0.8110 0.6221 0.0560  6 Sm 3.07-3.38

Its uncorrected formation energy is -0.85 eV per atom. The calculation puts the calculated total energy at -90.0 eV for the cell shown.

No. 5
Material: LiSm2Pb
Method: DFT, PBE-GGA
State: optimized geometry

Cell: 3.5026 3.5026 11.9466 Å, 81.57 81.57 60.00°
With the nearest neighbours (Å) after each atom.
Sites, in units of the cell vectors:
1 Sm 0.0913 0.0913 0.7262  1 Pb 3.22, 3 Li 3.34, 6 Sm 3.50
2 Pb 0.0000 0.0000 0.0000  2 Sm 3.22, 6 Pb 3.50
3 Sm 0.9087 0.9087 0.2738  1 Pb 3.22, 3 Li 3.34, 6 Sm 3.50
4 Li 0.5000 0.5000 0.5000  6 Sm 3.34, 6 Li 3.50

The calculation puts the calculated total energy at -14.5 eV for the cell shown.

No. 6
Material: LiAgAu2
Method: DFT, PBE-GGA
State: optimized geometry

Cell: 5.0243 5.0243 4.9510 Å, 82.22 82.22 33.74°
With the nearest neighbours (Å) after each atom.
Sites, in units of the cell vectors:
1 Li 0.4957 0.4957 0.5108  7 Au 2.83-2.89, 3 Ag 2.83-3.01, 2 Li 2.92
2 Ag 0.2539 0.2539 0.2463  3 Li 2.83-3.01, 7 Au 2.83-2.91, 2 Ag 2.92
3 Au 0.7492 0.7492 0.7380  3 Li 2.83-2.87, 4 Ag 2.83-2.91, 5 Au 2.92-2.94
4 Au 0.0012 0.0012 0.0050  3 Ag 2.85-2.90, 4 Li 2.86-2.89, 5 Au 2.92-2.94

The calculation puts the energy above the most stable polymorph in this dataset at 0.95 kcal/mol of atoms. The calculation puts the calculated total energy at -12.4 eV for the cell shown.

No. 7
Material: BaRhAu2
Method: DFT, PBE-GGA
State: optimized geometry

Cell: 4.7199 4.7199 6.0950 Å, 67.12 67.12 60.01°
With the nearest neighbours (Å) after each atom.
Sites, in units of the cell vectors:
1 Au 0.3069 0.3069 0.0798  3 Au 2.79-2.80, 3 Rh 2.81
2 Au 0.0114 0.0114 0.9665  3 Rh 2.73, 3 Au 2.79-2.80
3 Rh 0.6828 0.6828 0.9523  6 Au 2.73-2.81, 1 Ba 2.99
4 Ba 0.4988 0.4988 0.5014  1 Rh 2.99, 1 Au 3.15

The calculation puts the energy above the most stable polymorph in this dataset at 0.00 kcal/mol of atoms. The calculation puts the calculated total energy at -17.2 eV for the cell shown.

No. 8
Material: TbScRh4
Method: DFT, PBE-GGA
State: optimized geometry

Cell: 5.2769 5.2769 5.2769 Å, 60.00 60.00 60.00°
With the nearest neighbours (Å) after each atom.
Sites, in units of the cell vectors:
1 Tb 0.2500 0.2500 0.2500  12 Rh 3.09, 4 Sc 3.23
2 Rh 0.6253 0.6253 0.1241  6 Rh 2.63-2.64
3 Sc 0.0000 0.0000 0.0000  12 Rh 3.09, 4 Tb 3.23
4 Rh 0.1241 0.6253 0.6253  6 Rh 2.63-2.64
5 Rh 0.6253 0.6253 0.6253  6 Rh 2.63-2.64
6 Rh 0.6253 0.1241 0.6253  6 Rh 2.63-2.64

The calculation puts the calculated total energy at -44.6 eV for the cell shown.

No. 9
Material: FeHIr2Ru
Method: DFT, PBE-GGA
State: optimized geometry

Cell: 3.8480 3.8480 3.7958 Å, 90.00 90.00 90.00°
With the nearest neighbours (Å) after each atom.
Sites, in units of the cell vectors:
1 Ir 0.5000 0.0000 0.0000  2 H 1.92
2 Ru 0.5000 0.5000 0.5000  8 Ir 2.70, 4 Fe 2.72
3 Ir 0.0000 0.5000 0.0000  2 H 1.92
4 Fe 0.0000 0.0000 0.5000  2 H 1.90
5 H 0.0000 0.0000 0.0000  2 Fe 1.90, 4 Ir 1.92

The calculation puts the calculated total energy at -38.0 eV for the cell shown.

No. 10
Material: SrCa2Ta
Method: DFT, PBE-GGA
State: optimized geometry

Cell: 6.7037 6.7037 6.2073 Å, 71.46 71.46 30.08°
With the nearest neighbours (Å) after each atom.
Sites, in units of the cell vectors:
1 Sr 0.5288 0.5288 0.4324  2 Ta 3.37, 2 Sr 3.48, 4 Ca 3.56-3.72
2 Ca 0.9663 0.9663 0.9898  2 Ta 3.17, 3 Ca 3.48-3.52
3 Ta 0.2647 0.2647 0.2841  4 Ca 3.17-3.53, 2 Sr 3.37, 2 Ta 3.48
4 Ca 0.7402 0.7402 0.7937  5 Ca 3.48-3.77, 4 Ta 3.53-3.61

The calculation puts the energy above the most stable polymorph in this dataset at 3.17 kcal/mol of atoms. The calculation puts the calculated total energy at -14.5 eV for the cell shown.

No. 11
Material: Hg2GeSbPd
Method: DFT, PBE-GGA
State: optimized geometry

Cell: 5.2818 4.7124 5.2818 Å, 90.00 90.00 90.00°
With the nearest neighbours (Å) after each atom.
Sites, in units of the cell vectors:
1 Ge 0.0000 0.5000 0.0000  2 Pd 2.36
2 Hg 0.0000 0.0000 0.5000  2 Pd 2.64
3 Sb 0.5000 0.5000 0.5000  8 Hg 3.54, 4 Ge 3.73
4 Pd 0.0000 0.0000 0.0000  2 Ge 2.36
5 Hg 0.5000 0.0000 0.0000  2 Pd 2.64

Its uncorrected formation energy is 0.26 eV per atom. The calculation puts the calculated total energy at -13.2 eV for the cell shown.

No. 12
Material: TiSn2Te4
Method: DFT, PBE-GGA
State: optimized geometry

Cell: 5.5677 5.5677 8.4094 Å, 70.67 70.67 90.00°
With the nearest neighbours (Å) after each atom.
Sites, in units of the cell vectors:
1 Te 0.8169 0.8169 0.3663  1 Ti 2.72, 1 Sn 2.91
2 Te 0.1831 0.1831 0.6337  1 Ti 2.72, 1 Sn 2.91
3 Te 0.5000 0.0000 0.0000  2 Ti 2.78
4 Te 0.0000 0.5000 0.0000  2 Ti 2.78
5 Ti 0.0000 0.0000 0.0000  6 Te 2.72-2.78
6 Sn 0.6211 0.6211 0.7578  1 Te 2.91
7 Sn 0.3789 0.3789 0.2422  1 Te 2.91

Its uncorrected formation energy is -0.11 eV per atom. The calculation puts the calculated total energy at -29.2 eV for the cell shown.